NiSn2BiF: relaxed, PBE+U.

Cell and atoms, written as POSCAR:
```
NiSn2BiF
1.0
-4.937 -1.518 -1.322
1.102 -0.263 -3.814
1.367 -5.098 0.747
Ni F Bi Sn
1 1 1 2
Cartesian
0.000 0.000 0.000
0.551 -0.132 -1.907
-1.234 -3.440 -2.194
0.684 -2.549 0.374
-2.468 -0.759 -0.661
```

Total DFT energy (no corrections): -3.568 eV per atom